# 1
The following is a DFT calculation (PBE) of a relaxed structure of ScZnCoPb.

abc: 4.615 4.615 4.615
angles: 60.00 60.00 60.00
Atoms (fractional coordinates):
Sc 0.000 0.000 0.000
Zn 0.250 0.250 0.250
Co 0.500 0.500 0.500
Pb 0.750 0.750 0.750

Properties
symmetry = F-43m (216)
energy above the most stable polymorph in this dataset = 0.0 meV per atom


# 2
The following is a DFT calculation (PBE) of a relaxed structure of ScZnCoPb.

abc: 4.686 4.686 4.686
angles: 60.00 60.00 60.00
Atoms (fractional coordinates):
Sc 0.000 0.000 0.000
Zn 0.500 0.500 0.500
Co 0.250 0.250 0.250
Pb 0.750 0.750 0.750

Properties
symmetry = F-43m (216)
energy above the most stable polymorph in this dataset = 135.7 meV per atom


# 3
The following is a DFT calculation (PBE) of a relaxed structure of ZrScCoPb.

abc: 4.771 4.771 4.771
angles: 60.00 60.00 60.00
Atoms (fractional coordinates):
Zr 0.000 0.000 0.000
Sc 0.250 0.250 0.250
Co 0.750 0.750 0.750
Pb 0.500 0.500 0.500

Properties
symmetry = F-43m (216)
energy above the most stable polymorph in this dataset = 0.0 meV per atom


# 4
The following is a DFT calculation (PBE) of a relaxed structure of Co2PbSe3.

abc: 6.925 6.925 9.970
angles: 90.00 90.00 150.55
Atoms (fractional coordinates):
Co 0.000 0.000 0.000
Co 0.000 0.000 0.500
Co 0.391 0.609 0.750
Co 0.609 0.391 0.250
Pb 0.268 0.732 0.250
Pb 0.732 0.268 0.750
Se 0.005 0.995 0.750
Se 0.381 0.619 0.515
Se 0.381 0.619 0.985
Se 0.619 0.381 0.015
Se 0.619 0.381 0.485
Se 0.995 0.005 0.250

Properties
symmetry = Cmcm (63)


# 5
The following is a DFT calculation (PBE) of a relaxed structure of ZnCoPbSe3.

abc: 7.087 7.087 9.637
angles: 90.00 90.00 148.34
Atoms (fractional coordinates):
Zn 0.031 0.969 0.750
Zn 0.969 0.031 0.250
Co 0.500 0.500 0.000
Co 0.500 0.500 0.500
Pb 0.260 0.740 0.250
Pb 0.740 0.260 0.750
Se 0.124 0.876 0.535
Se 0.124 0.876 0.965
Se 0.423 0.577 0.750
Se 0.577 0.423 0.250
Se 0.876 0.124 0.035
Se 0.876 0.124 0.465

Properties
symmetry = Cmcm (63)
energy above the most stable polymorph in this dataset = 4.6 meV per atom


# 6
The following is a DFT calculation (PBE) of a relaxed structure of ZnCoPbSe3.

abc: 6.882 6.882 10.485
angles: 90.00 90.00 147.28
Atoms (fractional coordinates):
Zn 0.000 0.000 0.000
Zn 0.000 0.000 0.500
Co 0.467 0.533 0.750
Co 0.533 0.467 0.250
Pb 0.238 0.762 0.250
Pb 0.762 0.238 0.750
Se 0.070 0.930 0.750
Se 0.370 0.630 0.560
Se 0.370 0.630 0.940
Se 0.630 0.370 0.060
Se 0.630 0.370 0.440
Se 0.930 0.070 0.250

Properties
symmetry = Cmcm (63)
energy above the most stable polymorph in this dataset = 0.0 meV per atom


# 7
The following is a DFT calculation (PBE) of a relaxed structure of Ta2Co2SiPb.

abc: 10.110 4.107 10.202
angles: 90.00 109.63 90.00
Atoms (fractional coordinates):
Ta 0.000 0.000 0.000
Ta 0.117 0.500 0.373
Ta 0.239 0.000 0.739
Ta 0.376 0.500 0.142
Ta 0.505 0.000 0.497
Ta 0.630 0.500 0.860
Ta 0.748 0.000 0.268
Ta 0.868 0.500 0.618
Co 0.135 0.500 0.138
Co 0.232 0.000 0.485
Co 0.372 0.500 0.870
Co 0.502 0.000 0.266
Co 0.632 0.500 0.618
Co 0.751 0.000 0.978
Co 0.867 0.500 0.384
Co 0.986 0.000 0.736
Si 0.246 0.000 0.255
Si 0.623 0.500 0.379
Si 0.752 0.000 0.744
Si 0.996 0.000 0.500
Pb 0.123 0.500 0.877
Pb 0.372 0.500 0.618
Pb 0.502 0.000 0.003
Pb 0.867 0.500 0.126

Properties
symmetry = Pm (6)


# 8
The following is a DFT calculation (PBE) of a relaxed structure of SmCoPb5.

abc: 4.831 4.831 8.125
angles: 90.00 90.00 90.00
Atoms (fractional coordinates):
Sm 0.000 0.000 0.000
Co 0.000 0.000 0.500
Pb 0.000 0.500 0.306
Pb 0.000 0.500 0.694
Pb 0.500 0.000 0.306
Pb 0.500 0.000 0.694
Pb 0.500 0.500 0.000

Properties
symmetry = P4/mmm (123)


Number 1: theoretical density 9.00 g/cm3, total magnetic moment 0.06 μB per atom, energy -4.606 eV per atom. Number 2: theoretical density 8.59 g/cm3, total magnetic moment 0.19 μB per atom, energy -4.470 eV per atom. Number 3: theoretical density 8.70 g/cm3, total magnetic moment 0.50 μB per atom, energy -6.298 eV per atom. Number 4: theoretical density 7.94 g/cm3, total magnetic moment 0.00 μB per atom, energy -4.934 eV per atom. Number 5: theoretical density 7.43 g/cm3, total magnetic moment 0.16 μB per atom, energy -3.990 eV per atom. Number 6: theoretical density 7.03 g/cm3, total magnetic moment 0.42 μB per atom, energy -3.995 eV per atom. Number 7: theoretical density 11.90 g/cm3, total magnetic moment 0.00 μB per atom, energy -8.060 eV per atom. Number 8: theoretical density 10.91 g/cm3, total magnetic moment 0.00 μB per atom, energy -4.357 eV per atom.